1.
DFT (GGA-PBE) results for crystalline VReSe4 at its relaxed geometry.

The structure belongs to space group I4_1md (No. 109); the cell edges are 8.485, 8.485 and 7.031 Å and the angles 90.00°, 90.00° and 90.00°. The asymmetric unit holds V at (0.000, 0.000, 0.000), Re at (0.000, 0.000, 0.567), Se at (0.000, 0.283, 0.042) and Se at (0.000, 0.308, 0.546).

The value obtained for the uncorrected formation energy is -0.284 eV per atom. The value obtained for the energy above the most stable polymorph in this dataset is 1.45 eV/f.u.

=====

2.
DFT (GGA-PBE) results for crystalline SiH5I4 at its relaxed geometry.

The structure belongs to space group I4 (No. 79); the cell edges are 7.676, 7.676 and 8.260 Å and the angles 90.00°, 90.00° and 90.00°. The asymmetric unit holds Si at (0.000, 0.000, 0.000), H at (0.000, 0.000, 0.820), H at (0.076, 0.818, 0.058) and I at (0.060, 0.297, 0.521).

=====

no.,calculated density (kg/m3),E (eV per atom)
1,7256,-6.201
2,3690,-2.604